No. 1
KSiTe2I | GGA-PBEsol | relaxed

Cell: 5.284 5.284 5.905 Å, 90.00 90.00 90.00°
Atoms (fractional coordinates):
I: 0.000 0.000 0.500
Si: 0.000 0.000 0.000
Te: 0.500 0.000 0.000
Te: 0.000 0.500 0.000
K: 0.500 0.500 0.500

Properties
Formation energy (no corrections) in eV/atom: -0.253
E in eV per atom: -3.3929


No. 2
KSnTe2I | GGA-PBEsol | relaxed

Cell: 5.673 5.673 6.182 Å, 90.00 90.00 90.00°
Atoms (fractional coordinates):
Sn: 0.000 0.000 0.000
Te: 0.500 0.000 0.000
Te: 0.000 0.500 0.000
K: 0.500 0.500 0.500
I: 0.000 0.000 0.500

Properties
Formation energy (no corrections) in eV/atom: -0.338
E in eV per atom: -3.1801


No. 3
KSr2I2 | GGA-PBEsol | relaxed

Cell: 5.088 5.088 9.438 Å, 105.64 105.64 90.00°
Last column: magnetic moment on the atom in μB.
Atoms (fractional coordinates):
Sr: 0.250 0.750 0.500  0.11
Sr: 0.750 0.250 0.500  0.11
I: 0.391 0.391 0.782  0.02
I: 0.609 0.609 0.218  0.02
K: 0.000 0.000 0.000  0.01

Properties
Formation energy (no corrections) in eV/atom: -0.741
ΔE to the lowest computed polymorph in eV per atom: 0.1438
E in eV per atom: -2.4105